Entry 1:
ZrPa2B2N6 (PBE-GGA, relaxed); crystal system = trigonal; symmetry = P-3 (147); raw formation energy = -1048 meV/atom
1.0
5.542 0.000 0.000
-2.771 4.799 0.000
0.000 0.000 5.133
Zr Pa B N
1 2 2 6
direct
0.000 0.000 0.000
0.333 0.667 0.758
0.667 0.333 0.242
0.333 0.667 0.248
0.667 0.333 0.752
0.099 0.381 0.228
0.282 0.901 0.228
0.381 0.282 0.772
0.619 0.718 0.228
0.718 0.099 0.772
0.901 0.619 0.772


Entry 2:
MgAgH3 (PBE-GGA, relaxed); crystal system = cubic; excess energy over the best structure of this formula in the dataset = 0 meV per atom; symmetry = Pm-3m (221)
1.0
3.780 0.000 0.000
0.000 3.780 0.000
0.000 0.000 3.780
Mg Ag H
1 1 3
direct
0.000 0.000 0.000
0.500 0.500 0.500
0.000 0.000 0.500
0.000 0.500 0.000
0.500 0.000 0.000


Entry 3:
CeSmIrPt (PBE-GGA, relaxed); calculated formation energy = -0.8324 eV per atom; crystal system = cubic; excess energy over the best structure of this formula in the dataset = 142 meV per atom; symmetry = F-43m (216)
1.0
0.000 3.538 3.538
3.538 0.000 3.538
3.538 3.538 0.000
Ce Sm Ir Pt
1 1 1 1
direct
0.000 0.000 0.000
0.500 0.500 0.500
0.250 0.250 0.250
0.750 0.750 0.750


Entry 4:
Cu4SiP8 (PBE-GGA, relaxed); crystal system = tetragonal; symmetry = I4_1/a (88); raw formation energy = -131 meV/atom
1.0
-6.119 6.119 2.871
6.119 -6.119 2.871
6.119 6.119 -2.871
Cu Si P
8 2 16
direct
0.240 0.181 0.038
0.298 0.260 0.442
0.319 0.856 0.058
0.356 0.798 0.538
0.644 0.202 0.462
0.681 0.144 0.942
0.702 0.740 0.558
0.760 0.819 0.962
0.125 0.375 0.750
0.875 0.625 0.250
0.005 0.783 0.047
0.050 0.874 0.631
0.081 0.450 0.324
0.236 0.958 0.453
0.257 0.581 0.131
0.283 0.736 0.778
0.374 0.243 0.824
0.458 0.505 0.722
0.542 0.495 0.278
0.626 0.757 0.176
0.717 0.264 0.222
0.743 0.419 0.869
0.764 0.042 0.547
0.919 0.550 0.676
0.950 0.126 0.369
0.995 0.217 0.953


Entry 5:
ZnGa2Sb (PBE-GGA, relaxed); crystal system = tetragonal; excess energy over the best structure of this formula in the dataset = 91 meV per atom; symmetry = I-42d (122); raw formation energy = 172 meV/atom
1.0
-3.202 3.202 5.351
3.202 -3.202 5.351
3.202 3.202 -5.351
Zn Ga Sb
2 4 2
direct
0.000 0.000 0.000
0.750 0.250 0.500
0.106 0.625 0.981
0.375 0.356 0.481
0.644 0.125 0.019
0.875 0.894 0.519
0.250 0.750 0.500
0.500 0.500 0.000


Entry 6:
LiCoSb2Cl (PBE-GGA, relaxed); crystal system = tetragonal; symmetry = P4/mmm (123); raw formation energy = 564 meV/atom
1.0
5.287 0.000 0.000
0.000 5.287 0.000
0.000 0.000 4.091
Li Co Sb Cl
1 1 2 1
direct
0.000 0.000 0.000
0.500 0.500 0.500
0.000 0.500 0.000
0.500 0.000 0.000
0.000 0.000 0.500


Entry 7:
Sc2CuI (PBE-GGA, relaxed); crystal system = cubic; excess energy over the best structure of this formula in the dataset = 184 meV per atom; symmetry = Fm-3m (225); raw formation energy = -36 meV/atom
1.0
0.000 3.486 3.486
3.486 0.000 3.486
3.486 3.486 0.000
Sc Cu I
2 1 1
direct
0.250 0.250 0.250
0.750 0.750 0.750
0.000 0.000 0.000
0.500 0.500 0.500


Entry 8:
LaRh3N (PBE-GGA, relaxed); crystal system = cubic; excess energy over the best structure of this formula in the dataset = 0 meV per atom; symmetry = Pm-3m (221); raw formation energy = -252 meV/atom
1.0
4.276 0.000 0.000
0.000 4.276 0.000
0.000 0.000 4.276
La Rh N
1 3 1
direct
0.000 0.000 0.000
0.000 0.500 0.500
0.500 0.000 0.500
0.500 0.500 0.000
0.500 0.500 0.500


Entry 9:
KSc2Au (PBE-GGA, relaxed); calculated formation energy = 0.4023 eV per atom; crystal system = cubic; excess energy over the best structure of this formula in the dataset = 512 meV per atom; symmetry = F-43m (216)
1.0
0.000 3.694 3.694
3.694 0.000 3.694
3.694 3.694 0.000
K Sc Au
1 2 1
direct
0.000 0.000 0.000
0.250 0.250 0.250
0.500 0.500 0.500
0.750 0.750 0.750


Entry 10:
Pr2Nd4ErTm (PBE-GGA, relaxed); calculated formation energy = 0.0163 eV per atom; crystal system = monoclinic; symmetry = P2/m (10)
1.0
5.148 0.000 0.000
0.000 5.176 0.000
-0.017 0.000 10.264
Pr Nd Er Tm
2 4 1 1
direct
0.000 0.000 0.000
0.500 0.500 0.500
0.000 0.500 0.249
0.000 0.500 0.751
0.500 0.000 0.250
0.500 0.000 0.750
0.000 0.000 0.500
0.500 0.500 0.000


Entry 11:
PmDyEr2S4 (PBE-GGA, relaxed); crystal system = monoclinic; symmetry = P2/m (10); raw formation energy = -1982 meV/atom
1.0
6.782 0.000 0.000
0.000 3.872 0.000
-2.217 0.000 6.477
Pm Dy Er S
1 1 2 4
direct
0.000 0.000 0.000
0.500 0.500 0.000
0.000 0.500 0.500
0.500 0.000 0.500
0.252 0.000 0.742
0.259 0.500 0.262
0.741 0.500 0.738
0.748 0.000 0.258


Entry 12:
Ac3YTl4Te8 (PBE-GGA, relaxed); crystal system = trigonal; symmetry = R-3m (166); raw formation energy = -1117 meV/atom
1.0
4.726 2.728 8.168
-4.726 2.728 8.168
0.000 -5.457 8.168
Ac Y Tl Te
3 1 4 8
direct
0.000 0.500 0.500
0.500 0.000 0.500
0.500 0.500 0.000
0.000 0.000 0.000
0.000 0.000 0.500
0.000 0.500 0.000
0.500 0.000 0.000
0.500 0.500 0.500
0.232 0.232 0.757
0.232 0.757 0.232
0.243 0.768 0.768
0.256 0.256 0.256
0.744 0.744 0.744
0.757 0.232 0.232
0.768 0.243 0.768
0.768 0.768 0.243


In order of appearance, magnetization = 0.000 0.000 0.844 0.000 0.000 1.852 0.000 0.000 0.005 0.000 0.000 0.000 μB/f.u..
In order of appearance, mass density = 8.016 4.158 12.708 4.093 4.943 5.007 5.493 9.807 5.370 7.255 7.520 6.854 g/cm3.